Compound: BeAg3B
Source: Alexandria
Functional: GGA-PBE
Structure: optimized geometry

abc: 4.2935 4.2935 4.2935
angles: 90.00 90.00 90.00
Sites, in units of the cell vectors:
Be1 0.0000 0.0000 0.0000
Ag1 0.0000 0.5000 0.5000
Ag2 0.5000 0.0000 0.5000
Ag3 0.5000 0.5000 0.0000
B1 0.5000 0.5000 0.5000

Values from the calculation:
Formation energy, eV per atom: 0.762
Symmetry: Pm-3m, No. 221
D(E_F), states/eV/atom: 0.171
Crystal system: cubic



Compound: UTeCl
Source: Alexandria
Functional: GGA-PBE
Structure: optimized geometry

abc: 4.7525 4.7525 4.0815
angles: 90.00 90.00 120.00
Sites, in units of the cell vectors:
U1 0.0000 0.0000 0.0000
Te1 0.6667 0.3333 0.5000
Cl1 0.3333 0.6667 0.0000

Values from the calculation:
Symmetry: P-6m2, No. 187
D(E_F), states/eV/atom: 2.646
Crystal system: hexagonal
Uncorrected formation energy, eV/atom: -0.922



Compound: Mg2AuBr
Source: Alexandria
Functional: GGA-PBE
Structure: optimized geometry

abc: 3.1816 5.1508 5.1679
angles: 90.00 90.00 90.00
Sites, in units of the cell vectors:
Mg1 0.0000 0.0000 0.0000
Mg2 0.0000 0.5000 0.5000
Au1 0.5000 0.0000 0.5000
Br1 0.5000 0.5000 0.0000

Values from the calculation:
Symmetry: Pmmm, No. 47
D(E_F), states/eV/atom: 0.583
Crystal system: orthorhombic
Uncorrected formation energy, eV/atom: -0.414



Compound: NbB2Ru
Source: Alexandria
Functional: GGA-PBE
Structure: optimized geometry

abc: 3.9543 3.9543 3.9543
angles: 60.00 60.00 60.00
Sites, in units of the cell vectors:
Nb1 0.0000 0.0000 0.0000
B1 0.2500 0.2500 0.2500
B2 0.7500 0.7500 0.7500
Ru1 0.5000 0.5000 0.5000

Values from the calculation:
Formation energy, eV per atom: 0.121
Symmetry: Fm-3m, No. 225
D(E_F), states/eV/atom: 0.743
Crystal system: cubic



Compound: BaCd2CuNi
Source: Alexandria
Functional: GGA-PBE
Structure: optimized geometry

abc: 5.0383 5.0383 4.9229
angles: 90.00 90.00 90.00
Sites, in units of the cell vectors:
Ba1 0.0000 0.0000 0.0000
Cd1 0.0000 0.5000 0.5000
Cd2 0.5000 0.0000 0.5000
Cu1 0.5000 0.5000 0.0000
Ni1 0.5000 0.5000 0.5000

Values from the calculation:
Formation energy, eV per atom: -0.002
Symmetry: P4/mmm, No. 123
D(E_F), states/eV/atom: 0.558
Crystal system: tetragonal



Compound: TbDyTm4
Source: Alexandria
Functional: GGA-PBE
Structure: optimized geometry

abc: 5.3606 5.3606 7.6155
angles: 90.00 90.00 90.00
Sites, in units of the cell vectors:
Tb1 0.0000 0.0000 0.0000
Dy1 0.5000 0.5000 0.5000
Tm1 0.0000 0.5000 0.2503
Tm2 0.0000 0.5000 0.7497
Tm3 0.5000 0.0000 0.2503
Tm4 0.5000 0.0000 0.7497

Values from the calculation:
Formation energy, eV per atom: 0.740
Symmetry: P4/mmm, No. 123
D(E_F), states/eV/atom: 1.007
Crystal system: tetragonal